1.
Crystalline BSe2NCl at its relaxed geometry, computed with PBE.

Geometry as CIF:
```
data_BSe2NCl
_chemical_formula_sum 'B1 Se2 N1 Cl1'
_cell_length_a 5.372
_cell_length_b 5.372
_cell_length_c 3.319
_cell_angle_alpha 90.00
_cell_angle_beta 90.00
_cell_angle_gamma 90.00
_space_group_name_H-M_alt 'P 1'
_space_group_IT_number 1
_space_group_name_Hall 'P 1'
loop_
_atom_site_label
_atom_site_type_symbol
_atom_site_fract_x
_atom_site_fract_y
_atom_site_fract_z
B1 B 0.500 0.500 0.500
N1 N 0.000 0.000 0.500
Se1 Se 0.000 0.500 0.000
Se2 Se 0.500 0.000 0.000
Cl1 Cl 0.000 0.000 0.000
```

Computed properties:
Relative energy among the computed polymorphs in meV per atom: 2126



2.
Crystalline Sm6B2NCl3 at its relaxed geometry, computed with PBE.

Geometry as CIF:
```
data_Sm6B2NCl3
_chemical_formula_sum 'Sm6 B2 N1 Cl3'
_cell_length_a 6.595
_cell_length_b 6.595
_cell_length_c 7.331
_cell_angle_alpha 98.62
_cell_angle_beta 98.62
_cell_angle_gamma 120.02
_space_group_name_H-M_alt 'P 1'
_space_group_IT_number 1
_space_group_name_Hall 'P 1'
loop_
_atom_site_label
_atom_site_type_symbol
_atom_site_fract_x
_atom_site_fract_y
_atom_site_fract_z
Sm1 Sm 0.935 0.610 0.804
Sm2 Sm 0.741 0.741 0.196
Sm3 Sm 0.065 0.390 0.196
Sm4 Sm 0.610 0.935 0.804
Sm5 Sm 0.259 0.259 0.804
Sm6 Sm 0.390 0.065 0.196
B1 B 0.334 0.666 0.000
B2 B 0.666 0.334 0.000
N1 N 0.000 0.000 0.000
Cl1 Cl 0.170 0.830 0.500
Cl2 Cl 0.830 0.170 0.500
Cl3 Cl 0.500 0.500 0.500
```



3.
Crystalline Sr2BN2Cl at its relaxed geometry, computed with PBE.

Geometry as CIF:
```
data_Sr2BN2Cl
_chemical_formula_sum 'Sr8 B4 N8 Cl4'
_cell_length_a 4.211
_cell_length_b 9.287
_cell_length_c 12.505
_cell_angle_alpha 90.00
_cell_angle_beta 90.00
_cell_angle_gamma 90.00
_space_group_name_H-M_alt 'P 1'
_space_group_IT_number 1
_space_group_name_Hall 'P 1'
loop_
_atom_site_label
_atom_site_type_symbol
_atom_site_fract_x
_atom_site_fract_y
_atom_site_fract_z
Sr1 Sr 0.250 0.884 0.588
Sr2 Sr 0.250 0.616 0.088
Sr3 Sr 0.750 0.384 0.912
Sr4 Sr 0.750 0.116 0.412
Sr5 Sr 0.750 0.938 0.830
Sr6 Sr 0.250 0.062 0.170
Sr7 Sr 0.250 0.438 0.670
Sr8 Sr 0.750 0.562 0.330
B1 B 0.750 0.329 0.167
B2 B 0.250 0.671 0.833
B3 B 0.250 0.829 0.333
B4 B 0.750 0.171 0.667
N1 N 0.750 0.301 0.715
N2 N 0.250 0.699 0.285
N3 N 0.250 0.801 0.785
N4 N 0.750 0.462 0.123
N5 N 0.750 0.038 0.623
N6 N 0.250 0.962 0.377
N7 N 0.250 0.538 0.877
N8 N 0.750 0.199 0.215
Cl1 Cl 0.750 0.855 0.062
Cl2 Cl 0.250 0.355 0.438
Cl3 Cl 0.250 0.145 0.938
Cl4 Cl 0.750 0.645 0.562
```



4.
Crystalline Sr2BN2Cl2 at its relaxed geometry, computed with PBE.

Geometry as CIF:
```
data_Sr2BN2Cl2
_chemical_formula_sum 'Sr2 B1 N2 Cl2'
_cell_length_a 4.276
_cell_length_b 5.316
_cell_length_c 7.527
_cell_angle_alpha 98.04
_cell_angle_beta 90.00
_cell_angle_gamma 113.72
_space_group_name_H-M_alt 'P 1'
_space_group_IT_number 1
_space_group_name_Hall 'P 1'
loop_
_atom_site_label
_atom_site_type_symbol
_atom_site_fract_x
_atom_site_fract_y
_atom_site_fract_z
Sr1 Sr 0.686 0.372 0.269
Sr2 Sr 0.314 0.628 0.731
B1 B 0.000 0.000 0.500
N1 N 0.878 0.757 0.563
N2 N 0.122 0.243 0.437
Cl1 Cl 0.628 0.256 0.857
Cl2 Cl 0.372 0.744 0.143
```



5.
Crystalline BTeN2Cl at its relaxed geometry, computed with PBE.

Geometry as CIF:
```
data_BTeN2Cl
_chemical_formula_sum 'B1 Te1 N2 Cl1'
_cell_length_a 3.749
_cell_length_b 4.031
_cell_length_c 3.749
_cell_angle_alpha 90.00
_cell_angle_beta 90.00
_cell_angle_gamma 90.00
_space_group_name_H-M_alt 'P 1'
_space_group_IT_number 1
_space_group_name_Hall 'P 1'
loop_
_atom_site_label
_atom_site_type_symbol
_atom_site_fract_x
_atom_site_fract_y
_atom_site_fract_z
N1 N 0.000 0.000 0.500
N2 N 0.500 0.000 0.000
Te1 Te 0.500 0.500 0.500
B1 B 0.000 0.000 0.000
Cl1 Cl 0.000 0.500 0.000
```

Computed properties:
Relative energy among the computed polymorphs in meV per atom: 0



6.
Crystalline BTeN2Cl at its relaxed geometry, computed with PBE.

Geometry as CIF:
```
data_BTeN2Cl
_chemical_formula_sum 'B1 Te1 N2 Cl1'
_cell_length_a 3.502
_cell_length_b 3.502
_cell_length_c 7.637
_cell_angle_alpha 90.00
_cell_angle_beta 90.00
_cell_angle_gamma 90.00
_space_group_name_H-M_alt 'P 1'
_space_group_IT_number 1
_space_group_name_Hall 'P 1'
loop_
_atom_site_label
_atom_site_type_symbol
_atom_site_fract_x
_atom_site_fract_y
_atom_site_fract_z
N1 N 0.000 0.500 0.000
N2 N 0.500 0.000 0.000
Te1 Te 0.000 0.000 0.500
B1 B 0.500 0.500 0.500
Cl1 Cl 0.000 0.000 0.000
```

Computed properties:
Relative energy among the computed polymorphs in meV per atom: 938



7.
Crystalline BTe2NCl at its relaxed geometry, computed with PBE.

Geometry as CIF:
```
data_BTe2NCl
_chemical_formula_sum 'B1 Te2 N1 Cl1'
_cell_length_a 6.096
_cell_length_b 6.096
_cell_length_c 3.250
_cell_angle_alpha 90.00
_cell_angle_beta 90.00
_cell_angle_gamma 90.00
_space_group_name_H-M_alt 'P 1'
_space_group_IT_number 1
_space_group_name_Hall 'P 1'
loop_
_atom_site_label
_atom_site_type_symbol
_atom_site_fract_x
_atom_site_fract_y
_atom_site_fract_z
N1 N 0.000 0.000 0.500
Te1 Te 0.000 0.500 0.000
Te2 Te 0.500 0.000 0.000
B1 B 0.500 0.500 0.500
Cl1 Cl 0.000 0.000 0.000
```

Computed properties:
Relative energy among the computed polymorphs in meV per atom: 1973



8.
Crystalline BTe2NCl at its relaxed geometry, computed with PBE.

Geometry as CIF:
```
data_BTe2NCl
_chemical_formula_sum 'B1 Te2 N1 Cl1'
_cell_length_a 8.234
_cell_length_b 8.234
_cell_length_c 2.639
_cell_angle_alpha 90.00
_cell_angle_beta 90.00
_cell_angle_gamma 90.00
_space_group_name_H-M_alt 'P 1'
_space_group_IT_number 1
_space_group_name_Hall 'P 1'
loop_
_atom_site_label
_atom_site_type_symbol
_atom_site_fract_x
_atom_site_fract_y
_atom_site_fract_z
N1 N 0.000 0.000 0.500
Te1 Te 0.000 0.500 0.000
Te2 Te 0.500 0.000 0.000
B1 B 0.000 0.000 0.000
Cl1 Cl 0.500 0.500 0.500
```

Computed properties:
Relative energy among the computed polymorphs in meV per atom: 0



Record-wise formation energy (no corrections) values, in eV/atom: 2.256; -1.131; -1.492; -1.426; 1.577; 2.515; 2.060; 0.088